# CdCu2Pb | Alexandria | PBE | relaxed
data_CdCu2Pb
_cell_length_a 6.259
_cell_length_b 6.259
_cell_length_c 6.259
_cell_angle_alpha 150.45
_cell_angle_beta 138.81
_cell_angle_gamma 51.51
_symmetry_space_group_name_H-M 'P 1'
_symmetry_Int_Tables_number 1
loop_
_symmetry_equiv_pos_as_xyz
'x,y,z'
loop_
_atom_site_label
_atom_site_type_symbol
_atom_site_fract_x
_atom_site_fract_y
_atom_site_fract_z
_atom_site_occupancy
Cd1 Cd 0.265 0.765 0.500 1
Pb1 Pb 0.537 0.537 0.000 1
Cu1 Cu 0.764 0.264 0.500 1
Cu2 Cu 0.934 0.934 0.000 1
# density of states at the Fermi level	1.255	states/eV/cell
# energy relative to the lowest polymorph listed for this composition	40.2	meV per atom
# ΔE_f	0.192	eV per atom
# uncorrected energy	-3.0124	eV per atom